DFT (GGA-PBE) results for an optimized crystal structure of GaSnOsO6.

The structure in POSCAR format:
```
GaSnOsO6
1.0
5.1230 0.0000 0.0000
-2.5615 4.4367 0.0000
0.0000 0.0000 8.9903
Ga Sn Os O
2 2 2 12
Direct
0.3333 0.6667 0.2500
0.6667 0.3333 0.7500
0.0000 0.0000 0.0000
0.0000 0.0000 0.5000
0.3333 0.6667 0.7500
0.6667 0.3333 0.2500
0.0027 0.3480 0.6312
0.0027 0.6547 0.8688
0.3453 0.3480 0.8688
0.3453 0.9973 0.6312
0.3480 0.0027 0.1312
0.3480 0.3453 0.3688
0.6520 0.6547 0.6312
0.6520 0.9973 0.8688
0.6547 0.0027 0.3688
0.6547 0.6520 0.1312
0.9973 0.3453 0.1312
0.9973 0.6520 0.3688
```

- raw total energy (eV/cell) = -119.79
- raw formation energy (meV/atom) = -1320.9


DFT (GGA-PBE) results for an optimized crystal structure of LiAc2SbPd6.

The structure in POSCAR format:
```
LiAc2SbPd6
1.0
6.3010 0.0000 0.0000
3.1464 5.5007 0.0000
3.1382 1.7391 6.2842
Li Ac Sb Pd
1 2 1 6
Direct
0.0000 0.0000 0.0000
0.2394 0.2416 0.2796
0.7606 0.7584 0.7204
0.5000 0.5000 0.5000
0.2401 0.6856 0.8337
0.2415 0.2371 0.8224
0.3026 0.7628 0.1763
0.6974 0.2372 0.8237
0.7585 0.7629 0.1776
0.7599 0.3144 0.1663
```

- raw total energy (eV/cell) = -51.19
- raw formation energy (meV/atom) = -577.9


DFT (GGA-PBE) results for an optimized crystal structure of TlTe2MoN.

The structure in POSCAR format:
```
TlTe2MoN
1.0
5.6141 0.0000 0.0000
0.0000 5.6141 0.0000
0.0000 0.0000 3.8370
Tl Te Mo N
1 2 1 1
Direct
0.0000 0.0000 0.0000
0.0000 0.5000 0.5000
0.5000 0.0000 0.5000
0.5000 0.5000 0.5000
0.5000 0.5000 0.0000
```

- raw total energy (eV/cell) = -27.23
- raw formation energy (meV/atom) = 115.9
- polymorph energy (0 for the lowest one) (meV per atom) = 0


DFT (GGA-PBE) results for an optimized crystal structure of Tl2CrAs.

The structure in POSCAR format:
```
Tl2CrAs
1.0
3.4016 0.0000 0.0000
0.0000 3.6929 0.0000
0.0000 0.0000 16.0864
Tl Cr As
4 2 2
Direct
0.0000 0.0000 0.1709
0.0000 0.0000 0.8291
0.5000 0.5000 0.3291
0.5000 0.5000 0.6709
0.0000 0.5000 0.5000
0.5000 0.0000 0.0000
0.0000 0.5000 0.0000
0.5000 0.0000 0.5000
```

- raw total energy (eV/cell) = -36.88
- polymorph energy (0 for the lowest one) (meV per atom) = 23
- E_form (meV/atom) = 142


DFT (GGA-PBE) results for an optimized crystal structure of Fe2Sb.

The structure in POSCAR format:
```
Fe2Sb
1.0
3.7453 0.0000 0.0000
0.0000 3.7453 0.0000
0.0000 0.0000 13.5189
Fe Sb
8 4
Direct
0.0000 0.2500 0.2915
0.0000 0.2500 0.4585
0.0000 0.7500 0.5415
0.0000 0.7500 0.7085
0.5000 0.2500 0.0415
0.5000 0.2500 0.2085
0.5000 0.7500 0.7915
0.5000 0.7500 0.9585
0.0000 0.2500 0.8750
0.0000 0.7500 0.1250
0.5000 0.2500 0.6250
0.5000 0.7500 0.3750
```

- raw total energy (eV/cell) = -78.32
- raw formation energy (meV/atom) = 489.1


DFT (GGA-PBE) results for an optimized crystal structure of TeAuSe2.

The structure in POSCAR format:
```
TeAuSe2
1.0
5.7754 0.0000 0.0000
0.0000 7.9707 0.0000
0.0000 0.0000 4.0893
Te Au Se
2 2 4
Direct
0.0000 0.0000 0.0000
0.5000 0.5000 0.0000
0.0000 0.5000 0.0000
0.5000 0.0000 0.0000
0.0000 0.2632 0.5000
0.0000 0.7368 0.5000
0.5000 0.2368 0.5000
0.5000 0.7632 0.5000
```

- raw total energy (eV/cell) = -26.35
- raw formation energy (meV/atom) = 53.3
- polymorph energy (0 for the lowest one) (meV per atom) = 23


DFT (GGA-PBE) results for an optimized crystal structure of K2PmBr5.

The structure in POSCAR format:
```
K2PmBr5
1.0
13.6669 0.0000 0.0000
0.0000 9.1968 0.0000
0.0000 0.0000 8.5953
K Pm Br
8 4 20
Direct
0.1728 0.0033 0.0542
0.1728 0.4967 0.0542
0.3272 0.5033 0.5542
0.3272 0.9967 0.5542
0.6728 0.0033 0.4458
0.6728 0.4967 0.4458
0.8272 0.5033 0.9458
0.8272 0.9967 0.9458
0.0055 0.2500 0.5769
0.4945 0.7500 0.0769
0.5055 0.2500 0.9231
0.9945 0.7500 0.4231
0.0095 0.2500 0.9209
0.0759 0.5444 0.6650
0.0759 0.9556 0.6650
0.1789 0.2500 0.3766
0.2023 0.7500 0.3399
0.2977 0.2500 0.8399
0.3211 0.7500 0.8766
0.4241 0.0444 0.1650
0.4241 0.4556 0.1650
0.4905 0.7500 0.4209
0.5095 0.2500 0.5791
0.5759 0.5444 0.8350
0.5759 0.9556 0.8350
0.6789 0.2500 0.1234
0.7023 0.7500 0.1601
0.7977 0.2500 0.6601
0.8211 0.7500 0.6234
0.9241 0.0444 0.3350
0.9241 0.4556 0.3350
0.9905 0.7500 0.0791
```

- raw total energy (eV/cell) = -120.37
- raw formation energy (meV/atom) = -1847.7
- polymorph energy (0 for the lowest one) (meV per atom) = 0


DFT (GGA-PBE) results for an optimized crystal structure of CuOsRh2.

The structure in POSCAR format:
```
CuOsRh2
1.0
3.7931 0.0000 0.0000
0.0000 3.7931 0.0000
0.0000 0.0000 7.6243
Cu Os Rh
2 2 4
Direct
0.0000 0.0000 0.0000
0.5000 0.5000 0.5000
0.0000 0.0000 0.5000
0.5000 0.5000 0.0000
0.0000 0.5000 0.2500
0.0000 0.5000 0.7500
0.5000 0.0000 0.2500
0.5000 0.0000 0.7500
```

- raw total energy (eV/cell) = -58.89
- polymorph energy (0 for the lowest one) (meV per atom) = 123
- E_form (meV/atom) = 146